[1]
Density functional theory data (PBE) for a relaxed AlCr3Ir crystal.

Unit cell a=4.2476 b=4.2476 c=4.2476 alpha=90.00 beta=90.00 gamma=90.00
With the nearest neighbours (Å) after each atom.
Atoms (fractional coordinates):
Al1 0.0000 0.0000 0.0000  6 Cr 2.12
Cr1 0.5000 0.0000 0.0000  2 Al 2.12
Ir1 0.5000 0.5000 0.5000  12 Cr 3.00
Cr2 0.0000 0.5000 0.0000  2 Al 2.12
Cr3 0.0000 0.0000 0.5000  2 Al 2.12

Output
* energy above the lowest structure with this stoichiometry: 364 meV/atom
* energy relative to the elements: 1.54 eV/atom
* SG: Pm-3m, No. 221

=====

[2]
Density functional theory data (PBE) for a relaxed CrTc2HW crystal.

Unit cell a=3.9460 b=3.9460 c=3.8158 alpha=90.00 beta=90.00 gamma=90.00
With the nearest neighbours (Å) after each atom.
Atoms (fractional coordinates):
Tc1 0.0000 0.5000 0.0000  2 H 1.97
H1 0.0000 0.0000 0.0000  2 Cr 1.91, 4 Tc 1.97
W1 0.5000 0.5000 0.5000  8 Tc 2.74, 4 Cr 2.79
Cr1 0.0000 0.0000 0.5000  2 H 1.91
Tc2 0.5000 0.0000 0.0000  2 H 1.97

Output
* total energy: -9.2047 eV per atom
* SG: P4/mmm, No. 123

=====

[3]
Density functional theory data (PBE) for a relaxed FeSeCl2 crystal.

Unit cell a=2.9643 b=2.9643 c=9.9425 alpha=90.00 beta=90.00 gamma=90.00
With the nearest neighbours (Å) after each atom.
Atoms (fractional coordinates):
Cl1 0.0000 0.0000 0.9922  4 Cl 2.96
Cl2 0.5000 0.5000 0.3467  4 Fe 2.59
Se1 0.5000 0.5000 0.6616  4 Fe 2.64
Fe1 0.0000 0.0000 0.4994  4 Cl 2.59, 4 Se 2.64

Output
* energy above the lowest structure with this stoichiometry: 452 meV/atom
* formation energy (no corrections): 0.0675 eV/atom
* SG: P4mm, No. 99

=====

[4]
Density functional theory data (PBE) for a relaxed AcEuSn crystal.

Unit cell a=5.5644 b=5.5644 c=5.5644 alpha=60.00 beta=60.00 gamma=60.00
With the nearest neighbours (Å) after each atom.
Atoms (fractional coordinates):
Ac1 0.5000 0.5000 0.5000  4 Sn 3.41
Eu1 0.0000 0.0000 0.0000  4 Sn 3.41
Sn1 0.2500 0.2500 0.2500  4 Eu 3.41, 4 Ac 3.41

Output
* energy above the lowest structure with this stoichiometry: 0 meV/atom
* energy relative to the elements: -0.47 eV/atom
* SG: F-43m, No. 216

=====

[5]
Density functional theory data (PBE) for a relaxed AcSb2Mo crystal.

Unit cell a=3.4954 b=3.4954 c=10.9097 alpha=80.78 beta=80.78 gamma=60.00
With the nearest neighbours (Å) after each atom.
Atoms (fractional coordinates):
Sb1 0.1068 0.1068 0.6797  3 Mo 2.79
Ac1 0.0000 0.0000 0.0000  2 Sb 3.43, 6 Ac 3.50
Sb2 0.8932 0.8932 0.3203  3 Mo 2.79
Mo1 0.5000 0.5000 0.5000  6 Sb 2.79

Output
* energy above the lowest structure with this stoichiometry: 332 meV/atom
* formation energy (no corrections): 0.1595 eV/atom
* SG: R-3m, No. 166

=====

[6]
Density functional theory data (PBE) for a relaxed Li2LaErAu4 crystal.

Unit cell a=4.6114 b=4.6114 c=9.6509 alpha=76.18 beta=76.18 gamma=60.00
With the nearest neighbours (Å) after each atom.
Atoms (fractional coordinates):
Au1 0.8840 0.8840 0.3479  3 Li 2.76, 3 Er 3.01, 3 Au 3.07
Er1 0.5000 0.5000 0.5000  8 Au 2.94-3.01
Li1 0.7569 0.7569 0.7292  6 Au 2.76-2.78
Au2 0.3944 0.3944 0.8168  3 Li 2.78, 1 Er 2.94, 3 Au 3.07
Li2 0.2431 0.2431 0.2708  6 Au 2.76-2.78
La1 0.0000 0.0000 0.0000  8 Au 3.16-3.23
Au3 0.1160 0.1160 0.6521  3 Li 2.76, 3 Er 3.01, 3 Au 3.07
Au4 0.6056 0.6056 0.1832  3 Li 2.78, 1 Er 2.94, 3 Au 3.07

Output
* energy relative to the elements: -0.72 eV/atom
* SG: R-3m, No. 166

=====

[7]
Density functional theory data (PBE) for a relaxed Be2InSe crystal.

Unit cell a=4.5406 b=4.5406 c=3.4168 alpha=90.00 beta=90.00 gamma=105.82
With the nearest neighbours (Å) after each atom.
Atoms (fractional coordinates):
Be1 0.5000 0.5000 0.0000  2 Be 2.74, 4 Se 2.84, 4 In 2.84
Be2 0.0000 0.0000 0.0000  2 Be 2.74, 4 In 2.84, 4 Se 2.84
Se1 0.0000 0.5000 0.5000  2 In 2.74, 8 Be 2.84
In1 0.5000 0.0000 0.5000  2 Se 2.74, 8 Be 2.84

Output
* energy above the lowest structure with this stoichiometry: 469 meV/atom
* formation energy (no corrections): 0.6182 eV/atom
* SG: Cmmm, No. 65

=====

[8]
Density functional theory data (PBE) for a relaxed La7Pt2Au2 crystal.

Unit cell a=4.0885 b=9.8238 c=9.8238 alpha=61.14 beta=77.99 gamma=77.99
With the nearest neighbours (Å) after each atom.
Atoms (fractional coordinates):
La1 0.1903 0.7066 0.9128  3 Au 3.03-3.14, 1 Pt 3.38
Au1 0.7392 0.8660 0.6556  7 La 3.03-3.26
La2 0.5000 0.9850 0.0150  2 Pt 2.98
Pt1 0.0000 0.7684 0.2316  6 La 2.98-3.11
Au2 0.2608 0.3444 0.1340  7 La 3.03-3.26
Pt2 0.5000 0.3472 0.6528  6 La 2.94-3.17
La3 0.6064 0.5052 0.2820  3 Pt 3.11-3.17, 2 Au 3.26
La4 0.8824 0.3806 0.8547  2 Pt 2.94, 2 Au 3.26
La5 0.3936 0.7180 0.4948  3 Pt 3.11-3.17, 2 Au 3.26
La6 0.1176 0.1453 0.6194  2 Pt 2.94, 2 Au 3.26
La7 0.8097 0.0872 0.2934  3 Au 3.03-3.14, 1 Pt 3.38

Output
* energy above the lowest structure with this stoichiometry: 0 meV/atom
* energy relative to the elements: -0.74 eV/atom
* SG: Imm2, No. 44

=====

[9]
Density functional theory data (PBE) for a relaxed Nd2DyC2Br2 crystal.

Unit cell a=4.5542 b=4.5542 c=8.4318 alpha=105.67 beta=105.67 gamma=90.00
With the nearest neighbours (Å) after each atom.
Atoms (fractional coordinates):
Br1 0.1909 0.1909 0.3817  1 Dy 2.97, 1 Nd 3.25
C1 0.5000 0.0000 0.0000  2 Dy 2.28
Nd1 0.3997 0.3997 0.7994  4 C 2.76
Nd2 0.6003 0.6003 0.2006  4 C 2.76
Dy1 0.0000 0.0000 0.0000  4 C 2.28
Br2 0.8091 0.8091 0.6183  1 Dy 2.97, 1 Nd 3.25
C2 0.0000 0.5000 0.0000  2 Dy 2.28

Output
* formation energy (no corrections): -0.6392 eV/atom
* SG: I4/mmm, No. 139

=====

[10]
Density functional theory data (PBE) for a relaxed TbPrSc3 crystal.

Unit cell a=5.3868 b=5.3834 c=5.3834 alpha=73.89 beta=90.02 gamma=90.02
With the nearest neighbours (Å) after each atom.
Atoms (fractional coordinates):
Pr1 0.0000 0.3354 0.6646  6 Sc 2.88-3.23
Sc1 0.5000 0.5506 0.4494  2 Pr 3.03, 2 Tb 3.16-3.31
Tb1 0.5000 0.0387 0.9613  6 Sc 3.16-3.48, 2 Pr 3.31
Sc2 0.0000 0.9492 0.3857  1 Sc 2.88, 1 Pr 2.88
Sc3 0.0000 0.6143 0.0508  1 Sc 2.88, 1 Pr 2.88

Output
* energy above the lowest structure with this stoichiometry: 258 meV/atom
* energy relative to the elements: 0.46 eV/atom
* SG: Amm2, No. 38

=====

[11]
Density functional theory data (PBE) for a relaxed K3Nb2InO9 crystal.

Unit cell a=5.8709 b=5.8709 c=7.2134 alpha=90.00 beta=90.00 gamma=120.00
With the nearest neighbours (Å) after each atom.
Atoms (fractional coordinates):
K1 0.0000 0.0000 0.0000  12 O 2.91-2.94
O1 0.6550 0.8275 0.3211  1 Nb 1.93
K2 0.6667 0.3333 0.3310  12 O 2.93-3.00
O2 0.1725 0.8275 0.3211  1 Nb 1.93
O3 0.1725 0.3450 0.3211  1 Nb 1.93
O4 0.8275 0.1725 0.6789  1 Nb 1.93
O5 0.8275 0.6550 0.6789  1 Nb 1.93
O6 0.5000 0.0000 0.0000  2 Nb 2.13
O7 0.3450 0.1725 0.6789  1 Nb 1.93
K3 0.3333 0.6667 0.6690  12 O 2.93-3.00
Nb1 0.6667 0.3333 0.8213  6 O 1.93-2.13
O8 0.0000 0.5000 0.0000  2 Nb 2.13
In1 0.0000 0.0000 0.5000  6 O 2.18
O9 0.5000 0.5000 0.0000  2 Nb 2.13
Nb2 0.3333 0.6667 0.1787  6 O 1.93-2.13

Output
* formation energy (no corrections): -1.9538 eV/atom
* SG: P-3m1, No. 164

=====

[12]
Density functional theory data (PBE) for a relaxed Tb2Pr6Nd3Sm crystal.

Unit cell a=6.3787 b=6.3787 c=12.1327 alpha=95.04 beta=95.04 gamma=120.03
With the nearest neighbours (Å) after each atom.
Atoms (fractional coordinates):
Pr1 0.5832 0.9171 0.7527  2 Tb 3.64, 1 Sm 3.64, 6 Pr 3.68-3.69, 3 Nd 3.69-3.70
Nd1 0.5000 0.5000 0.5000  6 Nd 3.68, 6 Pr 3.69
Tb1 0.6667 0.3333 0.0000  6 Pr 3.64, 3 Sm 3.68, 3 Tb 3.68
Pr2 0.9171 0.5832 0.7527  2 Tb 3.64, 1 Sm 3.64, 6 Pr 3.68-3.69, 3 Nd 3.69-3.70
Pr3 0.7492 0.7492 0.2472  2 Tb 3.64, 1 Sm 3.64, 6 Pr 3.68-3.69, 3 Nd 3.69
Nd2 0.8332 0.1668 0.5000  6 Nd 3.68-3.69, 6 Pr 3.69-3.70
Sm1 0.0000 0.0000 0.0000  6 Pr 3.64, 6 Tb 3.68
Pr4 0.2508 0.2508 0.7528  2 Tb 3.64, 1 Sm 3.64, 6 Pr 3.68-3.69, 3 Nd 3.69
Pr5 0.0829 0.4168 0.2473  2 Tb 3.64, 1 Sm 3.64, 6 Pr 3.68-3.69, 3 Nd 3.69-3.70
Nd3 0.1668 0.8332 0.5000  6 Nd 3.68-3.69, 6 Pr 3.69-3.70
Tb2 0.3333 0.6667 0.0000  6 Pr 3.64, 3 Sm 3.68, 3 Tb 3.68
Pr6 0.4168 0.0829 0.2473  2 Tb 3.64, 1 Sm 3.64, 6 Pr 3.68-3.69, 3 Nd 3.69-3.70

Output
* energy relative to the elements: 0.01 eV/atom
* SG: C2/m, No. 12

=====

[13]
Density functional theory data (PBE) for a relaxed DyEr2Co crystal.

Unit cell a=3.6422 b=6.2340 c=9.2465 alpha=90.00 beta=90.00 gamma=107.01
With the nearest neighbours (Å) after each atom.
Atoms (fractional coordinates):
Dy1 0.5839 0.1667 0.7500  2 Co 2.71
Co1 0.2523 0.5039 0.7500  2 Dy 2.71, 4 Er 2.77
Co2 0.7477 0.4961 0.2500  2 Dy 2.71, 4 Er 2.77
Er1 0.1413 0.2822 0.0717  2 Co 2.77
Er2 0.8587 0.7178 0.9283  2 Co 2.77
Er3 0.8587 0.7178 0.5717  2 Co 2.77
Dy2 0.4161 0.8333 0.2500  2 Co 2.71
Er4 0.1413 0.2822 0.4283  2 Co 2.77

Output
* energy above the lowest structure with this stoichiometry: 26 meV/atom
* energy relative to the elements: -0.15 eV/atom
* SG: P2_1/m, No. 11

=====

[14]
Density functional theory data (PBE) for a relaxed SrRePdBr2 crystal.

Unit cell a=5.2346 b=5.2189 c=5.2346 alpha=90.00 beta=90.00 gamma=90.00
With the nearest neighbours (Å) after each atom.
Atoms (fractional coordinates):
Pd1 0.0000 0.0000 0.0000  2 Re 2.61, 4 Br 2.62
Re1 0.0000 0.5000 0.0000  2 Pd 2.61
Sr1 0.5000 0.5000 0.5000  8 Br 3.70, 4 Re 3.70
Br1 0.0000 0.0000 0.5000  2 Pd 2.62
Br2 0.5000 0.0000 0.0000  2 Pd 2.62

Output
* formation energy (no corrections): 0.4024 eV/atom
* SG: P4/mmm, No. 123

=====

So what do the calculations give for DOS at the Fermi energy? Going down the list: 1.08 1.07 1.09 3.72 1.37 0.69 0.53 1.20 0.15 1.66 0.54 1.45 1.28 0.92 states/eV per atom.